Material: KNd2HoTe4
Method: DFT, GGA-PBE
State: optimized geometry

The structure in extended XYZ format:
```
8
Lattice="7.888 0.000 0.000 0.000 4.464 0.000 -2.499 0.000 7.495" Properties=species:S:1:pos:R:3 pbc="T T T"
K 0.000 0.000 0.000
Nd 2.694 0.000 3.748
Nd 3.944 2.232 0.000
Ho -1.250 2.232 3.748
Te 0.080 0.000 5.529
Te 1.350 2.232 1.984
Te 4.039 2.232 5.511
Te 5.308 0.000 1.966
```

raw total energy = -4.810 eV/atom